No. 1
Density functional theory data (SCAN) for a PBEsol-optimized structure of W4C3.

abc: 2.8770 2.8770 19.0841
angles: 90.00 90.00 90.00
Positions (direct):
W 0.0000 0.0000 0.0674
W 0.0000 0.0000 0.3234
W 0.0000 0.0000 0.6766
W 0.0000 0.0000 0.9326
W 0.5000 0.5000 0.1766
W 0.5000 0.5000 0.4326
W 0.5000 0.5000 0.5674
W 0.5000 0.5000 0.8234
C 0.0000 0.0000 0.2018
C 0.0000 0.0000 0.5000
C 0.0000 0.0000 0.7982
C 0.5000 0.5000 0.0000
C 0.5000 0.5000 0.2982
C 0.5000 0.5000 0.7018

Computed properties:
As for the raw total energy: -43.556 eV/atom. The symmetry is I4/mmm, No. 139.

=====

No. 2
Density functional theory data (SCAN) for a PBEsol-optimized structure of WC.

abc: 3.1223 3.1223 14.9803
angles: 90.00 90.00 120.00
Positions (direct):
W 0.0000 0.0000 0.0932
W 0.0000 0.0000 0.9068
W 0.3333 0.6667 0.5735
W 0.3333 0.6667 0.7598
W 0.6667 0.3333 0.2402
W 0.6667 0.3333 0.4265
C 0.0000 0.0000 0.3288
C 0.0000 0.0000 0.6712
C 0.3333 0.6667 0.3379
C 0.3333 0.6667 0.9954
C 0.6667 0.3333 0.0046
C 0.6667 0.3333 0.6621

Computed properties:
As for the offset from the most stable computed form: 1.716 eV/atom. The symmetry is R-3m, No. 166.